Entry 1:
Here is an optimized crystal structure of GaBr2Cl from Alexandria. Energies are from GGA-PBE.

Cell lengths 9.453, 9.453, 7.134 Å; angles 48.50, 48.50, 90.00 degrees
Fractional coordinates of all 8 atoms:
Br1 0.375 0.231 0.750
Cl1 0.250 0.750 0.500
Ga1 0.750 0.250 0.500
Br2 0.875 0.019 0.750
Br3 0.981 0.625 0.250
Br4 0.769 0.125 0.250
Ga2 0.000 0.000 0.000
Cl2 0.500 0.500 0.000

Summary:
Crystal system: tetragonal
Offset from the most stable computed form in meV per atom: 446.5
Total magnetization in μB per formula unit: 0.00
ΔE_f (raw) in eV/atom: -0.46

Entry 2:
Here is an optimized crystal structure of CePaRh2 from Alexandria. Energies are from GGA-PBE.

Cell lengths 4.550, 4.550, 5.604 Å; angles 66.05, 66.05, 60.00 degrees
Fractional coordinates of all 4 atoms:
Pa1 0.500 0.500 0.500
Rh1 0.779 0.779 0.663
Rh2 0.221 0.221 0.337
Ce1 0.000 0.000 0.000

Summary:
Crystal system: trigonal
Offset from the most stable computed form in meV per atom: 50.5
Total magnetization in μB per formula unit: 0.77

Entry 3:
Here is an optimized crystal structure of Zr4PaN5 from Alexandria. Energies are from GGA-PBE.

Cell lengths 4.709, 5.749, 5.749 Å; angles 80.34, 65.82, 65.82 degrees
Fractional coordinates of all 10 atoms:
Pa1 0.001 0.000 0.000
Zr1 0.595 0.603 0.209
N1 0.302 0.800 0.599
Zr2 0.198 0.209 0.397
N2 0.700 0.200 0.401
N3 0.501 0.000 0.000
Zr3 0.804 0.791 0.603
N4 0.901 0.401 0.800
Zr4 0.407 0.397 0.791
N5 0.101 0.599 0.200

Summary:
Crystal system: tetragonal
Total magnetization in μB per formula unit: 0.00
ΔE_f (raw) in eV/atom: -1.67

Number 1: density of states at the Fermi level 1.2 states/eV per cell, VASP energy -2.52 eV/atom. Number 2: density of states at the Fermi level 7.5 states/eV per cell, VASP energy -8.21 eV/atom. Number 3: density of states at the Fermi level 4.4 states/eV per cell, VASP energy -10.21 eV/atom.